Material: SmNpAg2Te4
Method: DFT, GGA-PBE
State: relaxed

abc: 7.6494 6.8207 6.8207
angles: 68.46 55.89 55.89
Last column: nearest neighbours and their distance in Å.
Fractional positions:
1 Sm 0.5000 0.5000 0.5000  4 Te 3.11
2 Np 0.0000 0.0000 0.0000  4 Te 3.20
3 Ag 0.1691 0.3309 0.3309  4 Te 2.75-2.90, 1 Ag 2.80
4 Ag 0.8309 0.6691 0.6691  4 Te 2.75-2.90, 1 Ag 2.80
5 Te 0.4530 0.0562 0.5538  2 Ag 2.75-2.90
6 Te 0.0631 0.9438 0.4462  2 Ag 2.75-2.90
7 Te 0.9369 0.5538 0.0562  2 Ag 2.75-2.90
8 Te 0.5470 0.4462 0.9438  2 Ag 2.75-2.90

Results
Crystal system = orthorhombic
Spin magnetization = 4.27 μB per formula unit
Formation energy (no corrections) = -0.48 eV/atom
E = -4.9741 eV per atom